Entry 1:
Entry from the Alexandria database: an optimized crystal structure of K3YF6 (GGA-PBEsol).

Properties
Formation energy from raw total energies ... -3.35 eV/atom
Symmetry ... P2_1/c
Raw total energy ... -110.58 eV for the cell shown

Cell: 6.2850 6.5236 8.9362 Å, 90.00 89.02 90.00°
Closest atoms and distances in Å follow each position.
Fractional positions:
F  0.7735  0.3169  0.5554  1 Y 2.16
F  0.7265  0.8169  0.9446  1 Y 2.16
F  0.2265  0.6831  0.4446  1 Y 2.16
F  0.2735  0.1831  0.0554  1 Y 2.16
F  0.6744  0.7665  0.5774  1 Y 2.17
F  0.8256  0.2665  0.9226  1 Y 2.17
F  0.3256  0.2335  0.4226  1 Y 2.17
F  0.1744  0.7335  0.0774  1 Y 2.17
F  0.6240  0.5619  0.2765  1 Y 2.17
F  0.8760  0.0619  0.2235  1 Y 2.17
F  0.3760  0.4381  0.7235  1 Y 2.17
F  0.1240  0.9381  0.7765  1 Y 2.17
K  0.5000  0.5000  0.0000  6 F 2.55-2.63
K  0.0000  0.0000  0.5000  6 F 2.55-2.63
K  0.9781  0.5545  0.7444  6 F 2.62-2.92
K  0.5219  0.0545  0.7556  6 F 2.62-2.92
K  0.0219  0.4455  0.2556  6 F 2.62-2.92
K  0.4781  0.9455  0.2444  6 F 2.62-2.92
Y  0.0000  0.0000  0.0000  6 F 2.16-2.17
Y  0.5000  0.5000  0.5000  6 F 2.16-2.17



Entry 2:
Entry from the Alexandria database: an optimized crystal structure of KY3F10 (GGA-PBEsol).

Properties
Formation energy from raw total energies ... -4.02 eV/atom
Symmetry ... Fm-3m
Raw total energy ... -194.19 eV for the cell shown

Cell: 8.1185 8.1185 8.1185 Å, 60.00 60.00 60.00°
Closest atoms and distances in Å follow each position.
Fractional positions:
F  0.8878  0.8878  0.8878  3 Y 2.34, 3 F 2.58
F  0.8878  0.8878  0.3365  3 Y 2.34, 3 F 2.58
F  0.3365  0.8878  0.8878  3 Y 2.34, 3 F 2.58
F  0.8878  0.3365  0.8878  3 Y 2.34, 3 F 2.58
F  0.1122  0.1122  0.6635  3 Y 2.34, 3 F 2.58
F  0.1122  0.1122  0.1122  3 Y 2.34, 3 F 2.58
F  0.6635  0.1122  0.1122  3 Y 2.34, 3 F 2.58
F  0.1122  0.6635  0.1122  3 Y 2.34, 3 F 2.58
F  0.5000  0.1687  0.5000  2 Y 2.19
F  0.1687  0.5000  0.8313  2 Y 2.19
F  0.8313  0.5000  0.1687  2 Y 2.19
F  0.5000  0.8313  0.5000  2 Y 2.19
F  0.1687  0.5000  0.5000  2 Y 2.19
F  0.5000  0.8313  0.1687  2 Y 2.19
F  0.5000  0.1687  0.8313  2 Y 2.19
F  0.8313  0.5000  0.5000  2 Y 2.19
F  0.5000  0.5000  0.1687  2 Y 2.19
F  0.8313  0.1687  0.5000  2 Y 2.19
F  0.1687  0.8313  0.5000  2 Y 2.19
F  0.5000  0.5000  0.8313  2 Y 2.19
K  0.7500  0.7500  0.7500  4 F 2.74
K  0.2500  0.2500  0.2500  4 F 2.74
Y  0.7599  0.2401  0.7599  8 F 2.19-2.34
Y  0.2401  0.7599  0.2401  8 F 2.19-2.34
Y  0.2401  0.7599  0.7599  8 F 2.19-2.34
Y  0.7599  0.2401  0.2401  8 F 2.19-2.34
Y  0.7599  0.7599  0.2401  8 F 2.19-2.34
Y  0.2401  0.2401  0.7599  8 F 2.19-2.34



Entry 3:
Entry from the Alexandria database: an optimized crystal structure of K2ZnF4 (GGA-PBEsol).

Properties
Formation energy from raw total energies ... -2.63 eV/atom
Symmetry ... I4/mmm
Raw total energy ... -29.96 eV for the cell shown

Cell: 4.0551 4.0551 7.1090 Å, 106.57 106.57 90.00°
Closest atoms and distances in Å follow each position.
Fractional positions:
Zn  0.0000  0.0000  0.0000  6 F 2.03
K  0.6452  0.6452  0.2905  9 F 2.59-2.87
K  0.3548  0.3548  0.7095  9 F 2.59-2.87
F  0.0000  0.5000  0.0000  2 Zn 2.03
F  0.5000  0.0000  0.0000  2 Zn 2.03
F  0.1557  0.1557  0.3113  1 Zn 2.03
F  0.8443  0.8443  0.6887  1 Zn 2.03



Entry 4:
Entry from the Alexandria database: an optimized crystal structure of KZnF3 (GGA-PBEsol).

Properties
Formation energy from raw total energies ... -2.57 eV/atom
Symmetry ... Pm-3m
Raw total energy ... -21.34 eV for the cell shown

Cell: 4.0547 4.0547 4.0547 Å, 90.00 90.00 90.00°
Closest atoms and distances in Å follow each position.
Fractional positions:
Zn  0.5000  0.5000  0.5000  6 F 2.03
K  0.0000  0.0000  0.0000  12 F 2.87
F  0.0000  0.5000  0.5000  2 Zn 2.03
F  0.5000  0.0000  0.5000  2 Zn 2.03
F  0.5000  0.5000  0.0000  2 Zn 2.03



Entry 5:
Entry from the Alexandria database: an optimized crystal structure of KZnF2 (GGA-PBEsol).

Properties
Formation energy from raw total energies ... -1.61 eV/atom
Distance to the lowest polymorph of the same formula ... 260 meV/atom
Symmetry ... R-3m
Raw total energy ... -13.02 eV for the cell shown

Cell: 3.5102 3.5102 7.1509 Å, 75.79 75.79 60.00°
Closest atoms and distances in Å follow each position.
Fractional positions:
Zn  0.5000  0.5000  0.5000  6 F 2.23
K  0.0000  0.0000  0.0000  2 F 2.49
F  0.8787  0.8787  0.3638  3 Zn 2.23, 1 K 2.49
F  0.1213  0.1213  0.6362  3 Zn 2.23, 1 K 2.49



Entry 6:
Entry from the Alexandria database: an optimized crystal structure of KZnF2 (GGA-PBEsol).

Properties
Formation energy from raw total energies ... -1.87 eV/atom
Distance to the lowest polymorph of the same formula ... 0 meV/atom
Symmetry ... I-42d
Raw total energy ... -28.12 eV for the cell shown

Cell: 5.7464 6.2097 5.7464 Å, 117.56 90.00 117.56°
Closest atoms and distances in Å follow each position.
Fractional positions:
Zn  0.2500  0.5000  0.7500  4 F 2.12
Zn  0.0000  0.0000  0.0000  4 F 2.12
K  0.7500  0.5000  0.2500  4 F 2.61
K  0.5000  0.0000  0.5000  4 F 2.61
F  0.3051  0.2500  0.3750  2 Zn 2.12
F  0.9449  0.2500  0.8750  2 Zn 2.12
F  0.1250  0.7500  0.6949  2 Zn 2.12
F  0.6250  0.7500  0.0551  2 Zn 2.12



Entry 7:
Entry from the Alexandria database: an optimized crystal structure of LiLaO2F (GGA-PBEsol).

Properties
Formation energy from raw total energies ... -2.64 eV/atom
Symmetry ... P4/mmm
Raw total energy ... -32.95 eV for the cell shown

Cell: 3.7025 3.7895 3.7895 Å, 90.00 90.00 90.00°
Closest atoms and distances in Å follow each position.
Fractional positions:
F  0.5000  0.0000  0.0000  2 Li 1.85
Li  0.0000  0.0000  0.0000  2 F 1.85, 4 O 1.89
O  0.0000  0.0000  0.5000  2 Li 1.89
O  0.0000  0.5000  0.0000  2 Li 1.89
La  0.5000  0.5000  0.5000  8 O 2.65, 4 F 2.68



Entry 8:
Entry from the Alexandria database: an optimized crystal structure of LiLa2S2O8F3 (GGA-PBEsol).

Properties
Formation energy from raw total energies ... -2.65 eV/atom
Symmetry ... C2/c
Raw total energy ... -223.14 eV for the cell shown

Cell: 6.9401 8.2097 8.5027 Å, 114.38 114.09 90.00°
Closest atoms and distances in Å follow each position.
Fractional positions:
Li  0.5917  0.7500  0.0000  1 F 1.97
Li  0.4083  0.2500  0.0000  1 F 1.97
La  0.7865  0.0325  0.7592  4 F 2.39-2.50, 5 O 2.52-2.65
La  0.9726  0.5325  0.7592  4 F 2.39-2.50, 5 O 2.52-2.65
La  0.0274  0.4675  0.2408  4 F 2.39-2.50, 5 O 2.52-2.65
La  0.2135  0.9675  0.2408  4 F 2.39-2.50, 5 O 2.52-2.65
S  0.2451  0.8462  0.6571  4 O 1.48-1.50
S  0.7549  0.1538  0.3429  4 O 1.48-1.50
S  0.4120  0.3462  0.6571  4 O 1.48-1.50
S  0.5880  0.6538  0.3429  4 O 1.48-1.50
O  0.1834  0.8323  0.4624  1 S 1.48
O  0.2790  0.3323  0.4624  1 S 1.48
O  0.6054  0.4943  0.7673  1 S 1.48
O  0.3946  0.5057  0.2327  1 S 1.48
O  0.1619  0.9943  0.7673  1 S 1.48
O  0.7118  0.6229  0.2305  1 S 1.48
O  0.8381  0.0057  0.2327  1 S 1.48
O  0.4813  0.8771  0.7695  1 S 1.48
O  0.2882  0.3771  0.7695  1 S 1.48
O  0.1460  0.6625  0.6158  1 S 1.50
O  0.4697  0.1625  0.6158  1 S 1.50
O  0.8166  0.1677  0.5376  1 S 1.48
O  0.5303  0.8375  0.3842  1 S 1.50
O  0.7210  0.6677  0.5376  1 S 1.48
O  0.5187  0.1229  0.2305  1 S 1.48
O  0.8540  0.3375  0.3842  1 S 1.50
F  0.0105  0.6650  0.0954  3 La 2.39-2.50, 2 F 2.45-2.48, 1 O 2.54
F  0.0849  0.1650  0.0954  3 La 2.39-2.50, 2 F 2.45-2.48, 1 O 2.54
F  0.9895  0.3350  0.9046  3 La 2.39-2.50, 2 F 2.45-2.48, 1 O 2.54
F  0.9151  0.8350  0.9046  3 La 2.39-2.50, 2 F 2.45-2.48, 1 O 2.54
F  0.3083  0.7500  0.0000  1 Li 1.97
F  0.6917  0.2500  0.0000  1 Li 1.97